1.
Crystalline SrFe2 at its relaxed geometry. Source: OQMD, functional PBE.

Computed properties:
Raw total energy ... -4.40 eV per atom
V ... 79.4 Å³ per cell
Space-group type ... No. 225

Lattice parameters (Å, degrees): 4.8239 4.8239 4.8239 60.00 60.00 60.00
Positions (direct):
Fe  0.2500  0.2500  0.2500
Fe  0.7500  0.7500  0.7500
Sr  0.0000  0.0000  0.0000

=====

2.
Crystalline Sr3Fe at its relaxed geometry. Source: OQMD, functional PBE.

Computed properties:
Raw total energy ... -2.77 eV per atom
V ... 296.9 Å³ per cell
Space-group type ... No. 194

Lattice parameters (Å, degrees): 7.6290 7.6290 5.8907 90.00 90.00 120.00
Positions (direct):
Fe  0.6667  0.3333  0.2500
Fe  0.3333  0.6667  0.7500
Sr  0.1765  0.3531  0.2500
Sr  0.1765  0.8235  0.2500
Sr  0.6469  0.8235  0.2500
Sr  0.3531  0.1765  0.7500
Sr  0.8235  0.1765  0.7500
Sr  0.8235  0.6469  0.7500

=====

3.
Crystalline SrFe at its relaxed geometry. Source: OQMD, functional PBE.

Computed properties:
Raw total energy ... -3.89 eV per atom
V ... 62.5 Å³ per cell
Space-group type ... No. 225

Lattice parameters (Å, degrees): 4.4539 4.4539 4.4539 60.00 60.00 60.00
Positions (direct):
Fe  0.0000  0.0000  0.0000
Sr  0.5000  0.5000  0.5000

=====

4.
Crystalline Sr3Fe at its relaxed geometry. Source: OQMD, functional PBE.

Computed properties:
Raw total energy ... -2.74 eV per atom
V ... 154.7 Å³ per cell
Space-group type ... No. 221

Lattice parameters (Å, degrees): 5.3683 5.3683 5.3683 90.00 90.00 90.00
Positions (direct):
Fe  0.0000  0.0000  0.0000
Sr  0.5000  0.5000  0.0000
Sr  0.5000  0.0000  0.5000
Sr  0.0000  0.5000  0.5000

=====

5.
Crystalline SrFe2 at its relaxed geometry. Source: OQMD, functional PBE.

Computed properties:
Raw total energy ... -4.67 eV per atom
V ... 164.7 Å³ per cell
Space-group type ... No. 136

Lattice parameters (Å, degrees): 5.2813 5.2813 5.9045 90.00 90.00 90.00
Positions (direct):
Fe  0.3646  0.3646  0.0000
Fe  0.6354  0.6354  0.0000
Fe  0.8646  0.1354  0.5000
Fe  0.1354  0.8646  0.5000
Sr  0.0000  0.0000  0.0000
Sr  0.5000  0.5000  0.5000

=====

6.
Crystalline SrTa2Fe at its relaxed geometry. Source: OQMD, functional PBE.

Computed properties:
Raw total energy ... -7.40 eV per atom
V ... 76.3 Å³ per cell
Space-group type ... No. 216

Lattice parameters (Å, degrees): 4.7601 4.7601 4.7601 60.00 60.00 60.00
Positions (direct):
Fe  0.2500  0.2500  0.2500
Sr  0.5000  0.5000  0.5000
Ta  0.0000  0.0000  0.0000
Ta  0.7500  0.7500  0.7500